(1)
First-principles (PBE) data for a relaxed CuReSi crystal, as listed in Alexandria via LeMat-Bulk.

Values from the calculation:
**Energy above the most stable polymorph in this dataset**: 0.364 eV per formula unit

Geometry as CIF:
```
data_CuReSi
_chemical_formula_sum 'Cu1 Re1 Si1'
_symmetry_space_group_name_H-M 'P 3 m 1'
_symmetry_Int_Tables_number 156
_symmetry_space_group_name_Hall 'P 3 -2"'
_cell_length_a 2.8048
_cell_length_b 2.8048
_cell_length_c 6.0446
_cell_angle_alpha 90.00
_cell_angle_beta 90.00
_cell_angle_gamma 120.00
loop_
_atom_site_label
_atom_site_type_symbol
_atom_site_fract_x
_atom_site_fract_y
_atom_site_fract_z
Cu1 Cu 0.0000 0.0000 0.0000
Re1 Re 0.6667 0.3333 0.3642
Si1 Si 0.3333 0.6667 0.6815
```

(2)
First-principles (PBE) data for a relaxed Cu4ReSi crystal, as listed in Alexandria via LeMat-Bulk.

Geometry as CIF:
```
data_Cu4ReSi
_chemical_formula_sum 'Cu16 Re4 Si4'
_symmetry_space_group_name_H-M 'F -4 3 m'
_symmetry_Int_Tables_number 216
_symmetry_space_group_name_Hall 'F -4 2 3'
_cell_length_a 6.716
_cell_length_b 6.716
_cell_length_c 6.716
_cell_angle_alpha 90.00
_cell_angle_beta 90.00
_cell_angle_gamma 90.00
loop_
_atom_site_label
_atom_site_type_symbol
_atom_site_fract_x
_atom_site_fract_y
_atom_site_fract_z
Cu1 Cu 0.125 0.125 0.125
Re1 Re 0.250 0.250 0.750
Si1 Si 0.000 0.000 0.500
```

Across the entries above, formation energy without anion corrections takes the values 0.19; 0.43 eV/atom, respectively.
Across the entries above, VASP energy takes the values -7.1354; -5.2762 eV per atom, respectively.